1.
DFT (PBE-GGA) results for an optimized crystal structure of Ga3AsAu.

```
Ga3AsAu
1.0
4.958 0.000 0.000
0.000 4.958 0.000
0.000 0.000 4.958
Ga Au As
3 1 1
Direct
0.500 0.000 0.000
0.000 0.500 0.000
0.000 0.000 0.500
0.000 0.000 0.000
0.500 0.500 0.500
```

Calculated values
Its symmetry is Pm-3m, No. 221. Its density of states at the Fermi level is 3.069 states/eV per cell. The excess energy over the best structure of this formula in the dataset comes out at 0.000 eV/atom. For the formation energy, the calculation gives 0.2691 eV per atom.

---

2.
DFT (PBE-GGA) results for an optimized crystal structure of GaAsAu14.

```
GaAsAu14
1.0
5.946 -0.339 0.000
-2.642 5.337 0.000
0.000 0.000 9.405
Au Ga As
14 1 1
Direct
0.208 0.296 0.000
0.377 0.129 0.255
0.876 0.124 0.752
0.705 0.295 0.000
0.377 0.129 0.745
0.871 0.623 0.745
0.044 0.450 0.500
0.871 0.623 0.255
0.375 0.625 0.253
0.704 0.792 0.000
0.876 0.124 0.248
0.204 0.796 0.000
0.550 0.956 0.500
0.375 0.625 0.747
0.540 0.460 0.500
0.048 0.952 0.500
```

Calculated values
Its symmetry is Amm2, No. 38. Its density of states at the Fermi level is 5.759 states/eV per cell. For the formation energy, the calculation gives 0.0279 eV per atom.

---

3.
DFT (PBE-GGA) results for an optimized crystal structure of GaHg2AsAu.

```
GaHg2AsAu
1.0
-2.270 -3.843 -2.902
2.425 -3.572 2.834
-4.116 -0.117 3.374
Ga Hg Au As
1 2 1 1
Direct
0.500 0.500 0.500
0.000 0.000 0.500
0.500 0.000 0.000
0.000 0.000 0.000
0.000 0.500 0.000
```

Calculated values
Its symmetry is P4/mmm, No. 123. Its density of states at the Fermi level is 3.662 states/eV per cell. For the formation energy, the calculation gives 0.4025 eV per atom.

---

4.
DFT (PBE-GGA) results for an optimized crystal structure of GaAs2IrAu.

```
GaAs2IrAu
1.0
4.767 0.000 0.000
0.000 4.688 0.000
0.000 0.000 4.767
Ir Ga Au As
1 1 1 2
Direct
0.000 0.500 0.000
0.000 0.000 0.000
0.500 0.500 0.500
0.500 0.000 0.000
0.000 0.000 0.500
```

Calculated values
Its symmetry is P4/mmm, No. 123. Its density of states at the Fermi level is 3.306 states/eV per cell. For the formation energy, the calculation gives 1.0021 eV per atom.

---

5.
DFT (PBE-GGA) results for an optimized crystal structure of KGaAs2Au.

```
KGaAs2Au
1.0
6.914 0.000 0.000
0.000 6.928 0.000
0.000 -3.464 5.692
Au As Ga K
2 4 2 2
Direct
0.000 0.000 0.000
0.000 0.500 0.000
0.308 0.388 0.777
0.692 0.612 0.223
0.308 0.112 0.223
0.692 0.888 0.777
0.500 0.750 0.000
0.500 0.250 0.000
0.756 0.250 0.500
0.244 0.750 0.500
```

Calculated values
Its symmetry is Cmme, No. 67. Its density of states at the Fermi level is 2.188 states/eV per cell. The excess energy over the best structure of this formula in the dataset comes out at 0.000 eV/atom. For the formation energy, the calculation gives -0.2948 eV per atom.

---

6.
DFT (PBE-GGA) results for an optimized crystal structure of KGaAs2Au.

```
KGaAs2Au
1.0
5.657 0.000 0.000
0.000 5.657 0.000
0.000 0.000 5.663
Ga K Au As
1 1 1 2
Direct
0.500 0.500 0.500
0.000 0.000 0.000
0.000 0.000 0.500
0.500 0.000 0.000
0.000 0.500 0.000
```

Calculated values
Its symmetry is P4/mmm, No. 123. Its density of states at the Fermi level is 4.055 states/eV per cell. The excess energy over the best structure of this formula in the dataset comes out at 1.608 eV/atom. For the formation energy, the calculation gives 1.3132 eV per atom.

---

7.
DFT (PBE-GGA) results for an optimized crystal structure of NbGaAs2Au.

```
NbGaAs2Au
1.0
4.948 0.000 0.000
0.000 5.161 0.000
0.000 0.000 4.948
As Au Nb Ga
2 1 1 1
Direct
0.000 0.000 0.500
0.500 0.000 0.000
0.500 0.500 0.500
0.000 0.000 0.000
0.000 0.500 0.000
```

Calculated values
Its symmetry is P4/mmm, No. 123. Its density of states at the Fermi level is 3.029 states/eV per cell. For the formation energy, the calculation gives 0.4318 eV per atom.

---

8.
DFT (PBE-GGA) results for an optimized crystal structure of GaNi2AsAu.

```
GaNi2AsAu
1.0
-3.466 -1.957 1.862
-1.442 -1.508 -4.266
2.349 -3.679 0.506
Ni Ga As Au
2 1 1 1
Direct
0.500 0.000 0.000
0.000 0.000 0.500
0.000 0.000 0.000
0.500 0.500 0.500
0.000 0.500 0.000
```

Calculated values
Its symmetry is P4/mmm, No. 123. Its density of states at the Fermi level is 2.807 states/eV per cell. For the formation energy, the calculation gives 0.6503 eV per atom.

---

9.
DFT (PBE-GGA) results for an optimized crystal structure of GaAsPAu2.

```
GaAsPAu2
1.0
4.748 0.000 0.000
0.000 4.812 0.000
0.000 0.000 4.748
As Ga P Au
1 1 1 2
Direct
0.500 0.500 0.500
0.000 0.500 0.000
0.000 0.000 0.000
0.000 0.000 0.500
0.500 0.000 0.000
```

Calculated values
Its symmetry is P4/mmm, No. 123. Its density of states at the Fermi level is 4.062 states/eV per cell. For the formation energy, the calculation gives 0.4600 eV per atom.

---

10.
DFT (PBE-GGA) results for an optimized crystal structure of GaAs2PdAu.

```
GaAs2PdAu
1.0
4.829 0.000 0.000
0.000 4.715 0.000
0.000 0.000 4.829
As Au Pd Ga
2 1 1 1
Direct
0.000 0.000 0.500
0.500 0.000 0.000
0.500 0.500 0.500
0.000 0.500 0.000
0.000 0.000 0.000
```

Calculated values
Its symmetry is P4/mmm, No. 123. Its density of states at the Fermi level is 4.204 states/eV per cell. For the formation energy, the calculation gives 0.6500 eV per atom.

---

11.
DFT (PBE-GGA) results for an optimized crystal structure of GaAsPdAu2.

```
GaAsPdAu2
1.0
-4.043 -2.487 -1.308
2.685 -3.033 -2.532
0.487 -2.878 3.965
As Au Ga Pd
1 2 1 1
Direct
0.000 0.000 0.000
0.500 0.000 0.000
0.000 0.000 0.500
0.500 0.500 0.500
0.000 0.500 0.000
```

Calculated values
Its symmetry is P4/mmm, No. 123. Its density of states at the Fermi level is 0.605 states/eV per cell. For the formation energy, the calculation gives 0.2095 eV per atom.

---

12.
DFT (PBE-GGA) results for an optimized crystal structure of PmGaAsAu.

```
PmGaAsAu
1.0
-1.465 3.971 -2.706
-4.484 2.100 0.847
-0.285 4.534 2.145
As Au Ga Pm
1 1 1 1
Direct
0.750 0.750 0.750
0.250 0.250 0.250
0.000 0.000 0.000
0.500 0.500 0.500
```

Calculated values
Its symmetry is F-43m, No. 216. Its density of states at the Fermi level is 4.429 states/eV per cell. For the formation energy, the calculation gives -0.5265 eV per atom.